Entry 1:
Computed, not measured: AcTbCeSe3 after structural relaxation at the PBE-GGA level of DFT.

Summary:
ΔE_f (raw) (kJ/mol of formula units): -942
DOS at the Fermi energy (states/eV per cell): 15.85
Final energy (eV/atom): -5.81

Unit cell a=4.2092 b=8.3027 c=10.5093 alpha=104.86 beta=90.00 gamma=90.00
Site moments in Bohr magnetons follow the coordinates.
Fractional coordinates of all 12 atoms:
Ce1 0.2500 0.6542 0.0909  1.11
Ce2 0.7500 0.3458 0.9091  1.11
Se1 0.2500 0.5196 0.7913  -0.02
Se2 0.7500 0.2022 0.4492  0.01
Se3 0.7500 0.9067 0.1123  -0.01
Se4 0.7500 0.4804 0.2087  -0.02
Se5 0.2500 0.7978 0.5508  0.01
Se6 0.2500 0.0933 0.8877  -0.01
Tb1 0.7500 0.8370 0.3773  0.24
Tb2 0.2500 0.1630 0.6227  0.24
Ac1 0.7500 0.8113 0.7837  0.03
Ac2 0.2500 0.1887 0.2163  0.03



Entry 2:
Computed, not measured: Ac2TbCeSe4 after structural relaxation at the PBE-GGA level of DFT.

Summary:
ΔE_f (raw) (kJ/mol of formula units): -1404
DOS at the Fermi energy (states/eV per cell): 9.12
Final energy (eV/atom): -5.91

Unit cell a=4.2558 b=7.4208 c=7.5725 alpha=108.81 beta=90.00 gamma=90.00
Site moments in Bohr magnetons follow the coordinates.
Fractional coordinates of all 8 atoms:
Ce1 0.5000 0.5000 0.0000  0.81
Tb1 0.0000 0.0000 0.0000  0.01
Ac1 0.0000 0.5000 0.5000  0.01
Ac2 0.5000 0.0000 0.5000  0.00
Se1 0.5000 0.7629 0.7742  0.00
Se2 0.0000 0.2522 0.7709  -0.01
Se3 0.5000 0.2371 0.2258  0.00
Se4 0.0000 0.7478 0.2291  -0.01



Entry 3:
Computed, not measured: Ac3TbCe2Se6 after structural relaxation at the PBE-GGA level of DFT.

Summary:
ΔE_f (raw) (kJ/mol of formula units): -2110
DOS at the Fermi energy (states/eV per cell): 15.89
Final energy (eV/atom): -5.97

Unit cell a=7.4396 b=7.4396 c=7.5574 alpha=99.47 beta=99.47 gamma=120.06
Site moments in Bohr magnetons follow the coordinates.
Fractional coordinates of all 12 atoms:
Se1 0.2504 0.2504 0.7688  -0.01
Se2 0.9241 0.5962 0.7712  -0.01
Se3 0.4038 0.0759 0.2288  -0.01
Se4 0.0759 0.4038 0.2288  -0.01
Se5 0.7496 0.7496 0.2312  -0.01
Se6 0.5962 0.9241 0.7712  -0.01
Ce1 0.3339 0.6661 0.0000  0.83
Ce2 0.6661 0.3339 0.0000  0.83
Ac1 0.5000 0.5000 0.5000  0.00
Ac2 0.8316 0.1684 0.5000  0.00
Ac3 0.1684 0.8316 0.5000  0.00
Tb1 0.0000 0.0000 0.0000  0.02



Entry 4:
Computed, not measured: AcTb3Ce2Se6 after structural relaxation at the PBE-GGA level of DFT.

Summary:
ΔE_f (raw) (kJ/mol of formula units): -2085
DOS at the Fermi energy (states/eV per cell): 15.00
Final energy (eV/atom): -6.03

Unit cell a=7.2147 b=7.2147 c=7.3660 alpha=99.42 beta=99.42 gamma=120.06
Site moments in Bohr magnetons follow the coordinates.
Fractional coordinates of all 12 atoms:
Ce1 0.6672 0.3328 0.0000  0.85
Ce2 0.3328 0.6672 0.0000  0.85
Se1 0.5685 0.9106 0.7323  -0.01
Se2 0.9106 0.5685 0.7323  -0.01
Se3 0.4315 0.0894 0.2677  -0.01
Se4 0.0894 0.4315 0.2677  -0.01
Se5 0.2552 0.2552 0.7375  -0.01
Se6 0.7448 0.7448 0.2625  -0.01
Tb1 0.5000 0.5000 0.5000  -0.01
Tb2 0.8384 0.1616 0.5000  -0.01
Tb3 0.1616 0.8384 0.5000  -0.01
Ac1 0.0000 0.0000 0.0000  0.02



ΔE_f (raw) of number 1 (AcTbCeSe3)? -942 kJ/mol of formula units



Which of these has the lowest ΔE_f (raw)? Ac3TbCe2Se6



Among the records above, which one has the lowest ΔE_f (raw)? Ac3TbCe2Se6



Repeat the second record exactly.
Computed, not measured: Ac2TbCeSe4 after structural relaxation at the PBE-GGA level of DFT.

Summary:
ΔE_f (raw) (kJ/mol of formula units): -1404
DOS at the Fermi energy (states/eV per cell): 9.12
Final energy (eV/atom): -5.91

Unit cell a=4.2558 b=7.4208 c=7.5725 alpha=108.81 beta=90.00 gamma=90.00
Site moments in Bohr magnetons follow the coordinates.
Fractional coordinates of all 8 atoms:
Ce1 0.5000 0.5000 0.0000  0.81
Tb1 0.0000 0.0000 0.0000  0.01
Ac1 0.0000 0.5000 0.5000  0.01
Ac2 0.5000 0.0000 0.5000  0.00
Se1 0.5000 0.7629 0.7742  0.00
Se2 0.0000 0.2522 0.7709  -0.01
Se3 0.5000 0.2371 0.2258  0.00
Se4 0.0000 0.7478 0.2291  -0.01